Record 1
A plane-wave DFT calculation with PBE was carried out for crystalline Rb2Re2Tc at its relaxed geometry.

Unit cell a=3.5006 b=3.5006 c=12.3359 alpha=81.84 beta=81.84 gamma=90.00
Last column: nearest neighbours and their distance in Å.
Sites, in units of the cell vectors:
Rb 0.3856 0.3856 0.2288  4 Rb 3.50, 4 Tc 3.71, 4 Re 3.72
Rb 0.6144 0.6144 0.7712  4 Rb 3.50, 4 Tc 3.71, 4 Re 3.72
Re 0.7500 0.2500 0.5000  4 Re 2.48
Re 0.2500 0.7500 0.5000  4 Re 2.48
Tc 0.0000 0.0000 0.0000  4 Tc 3.50, 8 Rb 3.71

Calculated values
Total moment, μB per formula unit: 3.19
Space group: I4/mmm



Record 2
A plane-wave DFT calculation with PBE was carried out for crystalline RbReTc2 at its relaxed geometry.

Unit cell a=4.5952 b=4.5952 c=4.5952 alpha=60.00 beta=60.00 gamma=60.00
Last column: nearest neighbours and their distance in Å.
Sites, in units of the cell vectors:
Rb 0.0000 0.0000 0.0000  8 Tc 2.81
Tc 0.7500 0.7500 0.7500  4 Re 2.81, 4 Rb 2.81
Tc 0.2500 0.2500 0.2500  4 Re 2.81, 4 Rb 2.81
Re 0.5000 0.5000 0.5000  8 Tc 2.81

Calculated values
Total moment, μB per formula unit: 0.00
Space group: Fm-3m



Record 3
A plane-wave DFT calculation with PBE was carried out for crystalline RbRe3Tc at its relaxed geometry.

Unit cell a=4.8392 b=4.8392 c=4.8392 alpha=90.00 beta=90.00 gamma=90.00
Last column: nearest neighbours and their distance in Å.
Sites, in units of the cell vectors:
Re 0.5000 0.0000 0.0000  2 Tc 2.42
Re 0.0000 0.5000 0.0000  2 Tc 2.42
Re 0.0000 0.0000 0.5000  2 Tc 2.42
Tc 0.0000 0.0000 0.0000  6 Re 2.42
Rb 0.5000 0.5000 0.5000  12 Re 3.42

Calculated values
Total moment, μB per formula unit: 2.72
Space group: Pm-3m



Quick rundown of excess energy over the best structure of this formula in the dataset, same order as above: 0 4 0 meV per atom
Quick rundown of VASP energy, same order as above: -0.2128 -0.2522 -0.2768 Ha/atom
Quick rundown of density of states at the Fermi level, same order as above: 4.3 3.8 4.3 states/eV/f.u.